## CsBa5Cd4 (PBE)

Data for crystalline CsBa5Cd4 at its relaxed geometry.

abc: 4.311 4.311 24.725
angles: 90.00 90.00 90.00
Element x y z (fractional)
Ba (0.500, 0.500, 0.500)
Ba (0.500, 0.500, 0.838)
Ba (0.500, 0.500, 0.671)
Ba (0.500, 0.500, 0.162)
Ba (0.500, 0.500, 0.329)
Cd (0.000, 0.000, 0.759)
Cd (0.000, 0.000, 0.241)
Cd (0.000, 0.000, 0.415)
Cd (0.000, 0.000, 0.585)
Cs (0.000, 0.000, 0.000)

Results
Electronic total energy: -16.5 eV for the cell shown
Magnetization: 0.017 μB/atom
Calculated volume: 459.5 Å³ per cell
Formation energy: -0.2362 eV/atom